No. 1
PmSm5Er2Th: relaxed, PBE-GGA.

Summary:
DFT formation energy ... 1.46 eV/f.u.
Crystal system ... orthorhombic

Unit cell a=10.538 b=10.538 c=10.525 alpha=90.00 beta=90.00 gamma=148.78
Atoms (fractional coordinates):
Pm (0.089, 0.911, 0.500)
Pm (0.911, 0.089, 0.000)
Sm (0.023, 0.977, 0.793)
Sm (0.111, 0.889, 0.079)
Sm (0.206, 0.794, 0.757)
Sm (0.223, 0.777, 0.366)
Sm (0.484, 0.516, 0.074)
Sm (0.516, 0.484, 0.574)
Sm (0.777, 0.223, 0.866)
Sm (0.794, 0.206, 0.257)
Sm (0.889, 0.111, 0.579)
Sm (0.977, 0.023, 0.293)
Er (0.384, 0.616, 0.371)
Er (0.387, 0.613, 0.787)
Er (0.613, 0.387, 0.287)
Er (0.616, 0.384, 0.871)
Th (0.301, 0.699, 0.065)
Th (0.699, 0.301, 0.565)

No. 2
ReSnF2: relaxed, PBE-GGA.

Summary:
E_form (uncorrected) ... -0.85 eV per atom
Crystal system ... trigonal
Excess energy over the best structure of this formula in the dataset ... 0 meV/atom

Unit cell a=2.897 b=2.897 c=25.843 alpha=90.00 beta=90.00 gamma=120.00
Atoms (fractional coordinates):
Re (0.000, 0.000, 0.000)
Re (0.333, 0.667, 0.667)
Re (0.667, 0.333, 0.333)
Sn (0.000, 0.000, 0.500)
Sn (0.333, 0.667, 0.167)
Sn (0.667, 0.333, 0.833)
F (0.000, 0.000, 0.076)
F (0.000, 0.000, 0.924)
F (0.333, 0.667, 0.590)
F (0.333, 0.667, 0.743)
F (0.667, 0.333, 0.257)
F (0.667, 0.333, 0.410)

No. 3
KHgRhPb2: relaxed, PBE-GGA.

Summary:
DFT formation energy ... -0.18 eV/f.u.
Crystal system ... tetragonal
Excess energy over the best structure of this formula in the dataset ... 0 meV/atom

Unit cell a=5.335 b=5.335 c=5.441 alpha=90.00 beta=90.00 gamma=90.00
Atoms (fractional coordinates):
K (0.000, 0.000, 0.000)
Hg (0.500, 0.500, 0.000)
Rh (0.500, 0.500, 0.500)
Pb (0.000, 0.500, 0.500)
Pb (0.500, 0.000, 0.500)

No. 4
K2TbPmTe4: relaxed, PBE-GGA.

Summary:
E_form (uncorrected) ... -1.41 eV per atom
Crystal system ... monoclinic

Unit cell a=7.884 b=4.552 c=8.657 alpha=90.00 beta=107.66 gamma=90.00
Atoms (fractional coordinates):
K (0.000, 0.000, 0.000)
K (0.500, 0.500, 0.000)
Tb (0.000, 0.500, 0.500)
Pm (0.500, 0.000, 0.500)
Te (0.232, 0.000, 0.710)
Te (0.258, 0.500, 0.288)
Te (0.742, 0.500, 0.712)
Te (0.768, 0.000, 0.290)

No. 5
Li5Ca2Mg2Cd: relaxed, PBE-GGA.

Summary:
DFT formation energy ... -0.22 eV/f.u.
Crystal system ... tetragonal

Unit cell a=11.589 b=11.589 c=3.716 alpha=90.00 beta=90.00 gamma=90.00
Atoms (fractional coordinates):
Li (0.000, 0.500, 0.000)
Li (0.055, 0.183, 0.000)
Li (0.183, 0.945, 0.000)
Li (0.317, 0.445, 0.000)
Li (0.445, 0.683, 0.000)
Li (0.500, 0.000, 0.000)
Li (0.555, 0.317, 0.000)
Li (0.683, 0.555, 0.000)
Li (0.817, 0.055, 0.000)
Li (0.945, 0.817, 0.000)
Ca (0.173, 0.673, 0.500)
Ca (0.327, 0.173, 0.500)
Ca (0.673, 0.827, 0.500)
Ca (0.827, 0.327, 0.500)
Mg (0.126, 0.374, 0.500)
Mg (0.374, 0.874, 0.500)
Mg (0.626, 0.126, 0.500)
Mg (0.874, 0.626, 0.500)
Cd (0.000, 0.000, 0.500)
Cd (0.500, 0.500, 0.500)

No. 6
RbAuN3: relaxed, PBE-GGA.

Summary:
E_form (uncorrected) ... 2.16 eV per atom
Crystal system ... cubic

Unit cell a=4.224 b=4.224 c=4.224 alpha=90.00 beta=90.00 gamma=90.00
Atoms (fractional coordinates):
Rb (0.000, 0.000, 0.000)
Au (0.500, 0.500, 0.500)
N (0.000, 0.500, 0.500)
N (0.500, 0.000, 0.500)
N (0.500, 0.500, 0.000)